# Cu2PtPb2O6 (GGA-PBE, optimized geometry)
data_Cu2PtPb2O6
_chemical_formula_sum 'Cu2 Pt1 Pb2 O6'
_cell_length_a 6.188
_cell_length_b 6.188
_cell_length_c 6.188
_cell_angle_alpha 56.73
_cell_angle_beta 56.73
_cell_angle_gamma 56.73
_space_group_name_H-M_alt 'P 1'
_space_group_IT_number 1
loop_
_space_group_symop_operation_xyz
'x,y,z'
loop_
_atom_site_label
_atom_site_fract_x
_atom_site_fract_y
_atom_site_fract_z
_atom_site_occupancy
Cu1 0.094 0.094 0.094 1
Cu2 0.906 0.906 0.906 1
Pt1 0.500 0.500 0.500 1
Pb1 0.292 0.292 0.292 1
Pb2 0.708 0.708 0.708 1
O1 0.265 0.265 0.715 1
O2 0.265 0.715 0.265 1
O3 0.285 0.735 0.735 1
O4 0.715 0.265 0.265 1
O5 0.735 0.285 0.735 1
O6 0.735 0.735 0.285 1
# Final energy: -58.6 eV per cell

=====

# Cu2PtPb3O6 (GGA-PBE, optimized geometry)
data_Cu2PtPb3O6
_chemical_formula_sum 'Cu2 Pt1 Pb3 O6'
_cell_length_a 5.862
_cell_length_b 5.862
_cell_length_c 5.905
_cell_angle_alpha 90.00
_cell_angle_beta 90.00
_cell_angle_gamma 120.00
_space_group_name_H-M_alt 'P 1'
_space_group_IT_number 1
loop_
_space_group_symop_operation_xyz
'x,y,z'
loop_
_atom_site_label
_atom_site_fract_x
_atom_site_fract_y
_atom_site_fract_z
_atom_site_occupancy
Cu1 0.333 0.667 0.101 1
Cu2 0.667 0.333 0.899 1
Pt1 0.000 0.000 0.500 1
Pb1 0.000 0.000 0.000 1
Pb2 0.333 0.667 0.623 1
Pb3 0.667 0.333 0.377 1
O1 0.175 0.349 0.319 1
O2 0.175 0.825 0.319 1
O3 0.349 0.175 0.681 1
O4 0.651 0.825 0.319 1
O5 0.825 0.175 0.681 1
O6 0.825 0.651 0.681 1
# Final energy: -61.6 eV per cell

=====

# PuCu2PbO8 (GGA-PBE, optimized geometry)
data_PuCu2PbO8
_chemical_formula_sum 'Pu1 Cu2 Pb1 O8'
_cell_length_a 5.877
_cell_length_b 5.877
_cell_length_c 5.877
_cell_angle_alpha 110.95
_cell_angle_beta 110.95
_cell_angle_gamma 106.54
_space_group_name_H-M_alt 'P 1'
_space_group_IT_number 1
loop_
_space_group_symop_operation_xyz
'x,y,z'
loop_
_atom_site_label
_atom_site_fract_x
_atom_site_fract_y
_atom_site_fract_z
_atom_site_occupancy
Pu1 0.000 0.000 0.000 1
Cu1 0.250 0.750 0.500 1
Cu2 0.500 0.500 0.000 1
Pb1 0.750 0.250 0.500 1
O1 0.054 0.347 0.294 1
O2 0.054 0.760 0.706 1
O3 0.120 0.295 0.825 1
O4 0.240 0.946 0.294 1
O5 0.470 0.295 0.175 1
O6 0.653 0.946 0.706 1
O7 0.705 0.530 0.825 1
O8 0.705 0.880 0.175 1
# Final energy: -78.0 eV per cell

=====

# PuCu2PbO6 (GGA-PBE, optimized geometry)
data_PuCu2PbO6
_chemical_formula_sum 'Pu2 Cu4 Pb2 O12'
_cell_length_a 7.171
_cell_length_b 7.171
_cell_length_c 6.214
_cell_angle_alpha 97.14
_cell_angle_beta 97.14
_cell_angle_gamma 92.26
_space_group_name_H-M_alt 'P 1'
_space_group_IT_number 1
loop_
_space_group_symop_operation_xyz
'x,y,z'
loop_
_atom_site_label
_atom_site_fract_x
_atom_site_fract_y
_atom_site_fract_z
_atom_site_occupancy
Pu1 0.211 0.789 0.750 1
Pu2 0.789 0.211 0.250 1
Cu1 0.123 0.290 0.729 1
Cu2 0.290 0.123 0.229 1
Cu3 0.710 0.877 0.771 1
Cu4 0.877 0.710 0.271 1
Pb1 0.381 0.619 0.250 1
Pb2 0.619 0.381 0.750 1
O1 0.052 0.209 0.182 1
O2 0.118 0.679 0.424 1
O3 0.209 0.052 0.682 1
O4 0.240 0.524 0.851 1
O5 0.321 0.882 0.076 1
O6 0.476 0.760 0.649 1
O7 0.524 0.240 0.351 1
O8 0.679 0.118 0.924 1
O9 0.760 0.476 0.149 1
O10 0.791 0.948 0.318 1
O11 0.882 0.321 0.576 1
O12 0.948 0.791 0.818 1
# Final energy: -139.7 eV per cell

=====

Fermi-level density of states across the listed records, respectively: 0.79, 0.28, 0.71, 0.57 states/eV per atom.